The following is a DFT calculation (SCAN) of a crystal of CsLi2Al2 relaxed with PBEsol.

```
CsLi2Al2
1.0
-2.640 2.640 4.980
2.640 -2.640 4.980
2.640 2.640 -4.980
Cs Li Al
1 2 2
Direct
0.000 0.000 0.000
0.250 0.750 0.500
0.750 0.250 0.500
0.366 0.366 0.000
0.634 0.634 0.000
```

Values from the calculation:
Total energy: -11.34 eV per atom
Formation enthalpy at 0 K: 0.281 eV per atom
DOS(E_F): 4.2 states/eV per cell
Crystal system: tetragonal